DFT (PBE) results for a relaxed GaCo2SnS crystal.

Unit cell a=4.168 b=4.168 c=5.260 alpha=90.00 beta=90.00 gamma=90.00
Fractional positions:
Ga  0.000  0.000  0.000
Co  0.000  0.500  0.500
Co  0.500  0.000  0.500
Sn  0.500  0.500  0.000
S  0.000  0.000  0.500

**Final energy**: -4.7723 eV per atom
**Fermi-level density of states**: 0.9868 states/eV per atom
**E_form (uncorrected)**: 145 kJ/mol of formula units
**V**: 18.3 Å³ per atom

DFT (PBE) results for a relaxed GaCoSnS4 crystal.

Unit cell a=7.210 b=7.210 c=7.210 alpha=121.19 beta=113.17 gamma=95.08
Fractional positions:
Ga  0.417  0.167  0.250
Ga  0.583  0.833  0.750
Co  0.000  0.000  0.500
Co  0.000  0.500  0.000
Sn  0.000  0.500  0.500
Sn  0.500  0.500  0.000
S  0.179  0.243  0.936
S  0.192  0.757  0.436
S  0.239  0.241  0.502
S  0.239  0.737  0.998
S  0.761  0.263  0.002
S  0.761  0.759  0.498
S  0.808  0.243  0.564
S  0.821  0.757  0.064

**Final energy**: -4.7373 eV per atom
**Fermi-level density of states**: 0.2396 states/eV per atom
**E_form (uncorrected)**: -243 kJ/mol of formula units
**V**: 19.5 Å³ per atom